Entry from Alexandria via LeMat-Bulk: a relaxed ZrTiMo14 crystal (PBE).

```
ZrTiMo14
1.0
-5.269 -1.286 0.996
1.125 -0.774 -5.343
2.405 -8.509 1.739
Mo Zr Ti
14 1 1
Direct
0.125 0.375 0.500
0.625 0.375 0.000
0.377 0.623 0.751
0.377 0.127 0.757
0.125 0.375 0.000
0.377 0.127 0.243
0.873 0.623 0.757
0.125 0.875 0.000
0.625 0.875 0.000
0.377 0.623 0.249
0.873 0.127 0.751
0.873 0.127 0.249
0.625 0.875 0.500
0.873 0.623 0.243
0.125 0.875 0.500
0.625 0.375 0.500
```

## Properties
calculated density: 9.54 g cm⁻³

***

Entry from Alexandria via LeMat-Bulk: a relaxed ZrTiMo3 crystal (PBE).

```
ZrTiMo3
1.0
4.602 0.000 0.000
0.000 4.602 0.000
0.000 0.000 4.602
Ti Mo Zr
1 3 1
Direct
0.000 0.000 0.000
0.000 0.500 0.000
0.000 0.000 0.500
0.500 0.000 0.000
0.500 0.500 0.500
```

## Properties
calculated density: 7.28 g cm⁻³

***

Entry from Alexandria via LeMat-Bulk: a relaxed ZrTi5Mo2 crystal (PBE).

```
ZrTi5Mo2
1.0
2.737 -0.094 1.534
-1.559 8.645 -0.624
5.413 0.464 15.116
Ti Mo Zr
10 4 2
Direct
0.520 0.870 0.840
0.671 0.831 0.553
0.329 0.169 0.447
0.223 0.627 0.034
0.488 0.611 0.451
0.480 0.130 0.160
0.512 0.389 0.549
0.235 0.240 0.738
0.777 0.373 0.966
0.765 0.760 0.262
0.000 0.109 0.926
0.000 0.891 0.074
0.071 0.970 0.351
0.929 0.030 0.649
0.197 0.596 0.747
0.803 0.404 0.253
```

## Properties
calculated density: 6.12 g cm⁻³

***

Entry from Alexandria via LeMat-Bulk: a relaxed ZrTi3Mo crystal (PBE).

```
ZrTi3Mo
1.0
-0.889 4.286 1.754
-4.182 0.024 -2.179
-1.990 -1.967 3.796
Zr Ti Mo
1 3 1
Direct
0.500 0.500 0.500
0.000 0.000 0.500
0.000 0.500 0.000
0.500 0.000 0.000
0.000 0.000 0.000
```

## Properties
calculated density: 5.24 g cm⁻³

***

Entry from Alexandria via LeMat-Bulk: a relaxed ZrTiMo3 crystal (PBE).

```
ZrTiMo3
1.0
-3.618 -0.707 -3.018
1.730 -4.310 -1.064
-2.572 -1.904 3.530
Mo Ti Zr
3 1 1
Direct
0.000 0.000 0.500
0.500 0.000 0.000
0.000 0.500 0.000
0.500 0.500 0.500
0.000 0.000 0.000
```

## Properties
calculated density: 6.56 g cm⁻³

***

Entry from Alexandria via LeMat-Bulk: a relaxed ZrTiMo4 crystal (PBE).

```
ZrTiMo4
1.0
-3.002 -4.158 -1.407
-0.743 -4.017 3.405
-4.761 -0.727 2.256
Mo Zr Ti
4 1 1
Direct
0.625 0.125 0.625
0.625 0.625 0.625
0.125 0.625 0.625
0.625 0.625 0.125
0.000 0.000 0.000
0.250 0.250 0.250
```

## Properties
calculated density: 8.16 g cm⁻³

***

Computed electronic total energy, in the same sequence as the records: -169.12 -43.48 -138.34 -40.06 -39.40 -60.20 eV for the cell shown.